Entry 1:
Entry from Alexandria: an optimized crystal structure of ZnGa2As (PBE).

a = 4.7791 Å, b = 4.7791 Å, c = 4.7791 Å
α = 60.00°, β = 60.00°, γ = 60.00°
Fractional coordinates of all 4 atoms:
1 As 0.5000 0.5000 0.5000
2 Zn 0.0000 0.0000 0.0000
3 Ga 0.2500 0.2500 0.2500
4 Ga 0.7500 0.7500 0.7500

Properties
As for the space-group type: No. 225. The value obtained for the energy of formation is 127 meV/atom. For the relative energy among the computed polymorphs, the calculation gives 0.046 eV/atom.

---

Entry 2:
Entry from Alexandria: an optimized crystal structure of Be2ReSe (PBE).

a = 7.2381 Å, b = 7.2381 Å, c = 7.2381 Å
α = 23.35°, β = 23.35°, γ = 23.35°
Fractional coordinates of all 4 atoms:
1 Re 0.2500 0.2500 0.2500
2 Se 0.7500 0.7500 0.7500
3 Be 0.0014 0.0014 0.0014
4 Be 0.4986 0.4986 0.4986

Properties
As for the space-group type: No. 166. The calculation puts the uncorrected formation energy at 1.43 eV per formula unit.

---

Entry 3:
Entry from Alexandria: an optimized crystal structure of RbIn3Hg4 (PBE).

a = 5.2343 Å, b = 5.2343 Å, c = 9.1340 Å
α = 90.00°, β = 90.00°, γ = 90.00°
Fractional coordinates of all 8 atoms:
1 Hg 0.0000 0.5000 0.1773
2 Hg 0.0000 0.5000 0.8227
3 Hg 0.5000 0.0000 0.8227
4 Hg 0.5000 0.0000 0.1773
5 Rb 0.0000 0.0000 0.5000
6 In 0.0000 0.0000 0.0000
7 In 0.5000 0.5000 0.3337
8 In 0.5000 0.5000 0.6663

Properties
As for the space-group type: No. 123. The value obtained for the energy of formation is -79 meV/atom.

---

Entry 4:
Entry from Alexandria: an optimized crystal structure of CoTcHg2 (PBE).

a = 2.8121 Å, b = 2.8121 Å, c = 8.8876 Å
α = 90.00°, β = 90.00°, γ = 104.16°
Fractional coordinates of all 4 atoms:
1 Co 0.5000 0.5000 0.7500
2 Hg 0.0000 0.0000 0.9871
3 Hg 0.0000 0.0000 0.5129
4 Tc 0.5000 0.5000 0.2500

Properties
As for the space-group type: No. 65. The value obtained for the energy of formation is 708 meV/atom. For the relative energy among the computed polymorphs, the calculation gives 0.374 eV/atom.

---

Entry 5:
Entry from Alexandria: an optimized crystal structure of Zn3GaSn3 (PBE).

a = 7.5119 Å, b = 7.5119 Å, c = 7.5119 Å
α = 90.00°, β = 90.00°, γ = 90.00°
Fractional coordinates of all 14 atoms:
1 Zn 0.2500 0.0000 0.5000
2 Zn 0.0000 0.5000 0.2500
3 Zn 0.5000 0.7500 0.0000
4 Zn 0.7500 0.0000 0.5000
5 Zn 0.0000 0.5000 0.7500
6 Zn 0.5000 0.2500 0.0000
7 Sn 0.0000 0.2500 0.5000
8 Sn 0.0000 0.7500 0.5000
9 Sn 0.5000 0.0000 0.7500
10 Sn 0.7500 0.5000 0.0000
11 Sn 0.5000 0.0000 0.2500
12 Sn 0.2500 0.5000 0.0000
13 Ga 0.5000 0.5000 0.5000
14 Ga 0.0000 0.0000 0.0000

Properties
As for the space-group type: No. 223. The value obtained for the energy of formation is 410 meV/atom.

---

Entry 6:
Entry from Alexandria: an optimized crystal structure of DyHo2Al9 (PBE).

a = 5.5570 Å, b = 5.5570 Å, c = 9.3166 Å
α = 72.65°, β = 72.65°, γ = 60.00°
Fractional coordinates of all 12 atoms:
1 Dy 0.0000 0.0000 0.0000
2 Ho 0.8578 0.8578 0.4266
3 Ho 0.1422 0.1422 0.5734
4 Al 0.6646 0.6646 0.0061
5 Al 0.3354 0.3354 0.9939
6 Al 0.5000 0.5000 0.5000
7 Al 0.4127 0.4127 0.2509
8 Al 0.9238 0.4127 0.2509
9 Al 0.4127 0.9238 0.2509
10 Al 0.5873 0.5873 0.7491
11 Al 0.5873 0.0762 0.7491
12 Al 0.0762 0.5873 0.7491

Properties
As for the space-group type: No. 166. The value obtained for the energy of formation is -362 meV/atom. For the relative energy among the computed polymorphs, the calculation gives 0.058 eV/atom.

---

Entry 7:
Entry from Alexandria: an optimized crystal structure of YAl8Fe4 (PBE).

a = 6.6433 Å, b = 6.6433 Å, c = 6.6433 Å
α = 98.22°, β = 98.22°, γ = 135.57°
Fractional coordinates of all 13 atoms:
1 Al 0.6596 0.0000 0.6596
2 Al 0.3404 0.0000 0.3404
3 Al 0.0000 0.3404 0.3404
4 Al 0.0000 0.6596 0.6596
5 Al 0.7210 0.5000 0.2210
6 Al 0.2790 0.5000 0.7790
7 Al 0.5000 0.2790 0.7790
8 Al 0.5000 0.7210 0.2210
9 Fe 0.0000 0.5000 0.0000
10 Fe 0.5000 0.0000 0.0000
11 Fe 0.5000 0.5000 0.5000
12 Fe 0.0000 0.0000 0.5000
13 Y 0.0000 0.0000 0.0000

Properties
As for the space-group type: No. 139. The value obtained for the energy of formation is -430 meV/atom.

---

Entry 8:
Entry from Alexandria: an optimized crystal structure of TlAg2I3 (PBE).

a = 4.6340 Å, b = 7.8733 Å, c = 13.4015 Å
α = 81.46°, β = 90.00°, γ = 90.00°
Fractional coordinates of all 12 atoms:
1 Tl 0.7500 0.3572 0.3213
2 Tl 0.2500 0.6428 0.6787
3 Ag 0.7500 0.5290 0.9235
4 Ag 0.2500 0.4710 0.0765
5 Ag 0.2500 0.9770 0.4160
6 Ag 0.7500 0.0230 0.5840
7 I 0.2500 0.1356 0.2099
8 I 0.7500 0.8644 0.7901
9 I 0.2500 0.3298 0.8866
10 I 0.7500 0.6702 0.1134
11 I 0.7500 0.7557 0.4533
12 I 0.2500 0.2443 0.5467

Properties
As for the space-group type: No. 11. The calculation puts the uncorrected formation energy at -2.14 eV per formula unit.

---

Entry 9:
Entry from Alexandria: an optimized crystal structure of YBi2RuO (PBE).

a = 4.9439 Å, b = 4.4178 Å, c = 4.9439 Å
α = 90.00°, β = 90.00°, γ = 90.00°
Fractional coordinates of all 5 atoms:
1 Y 0.0000 0.5000 0.0000
2 Ru 0.5000 0.5000 0.5000
3 Bi 0.0000 0.0000 0.5000
4 Bi 0.5000 0.0000 0.0000
5 O 0.0000 0.0000 0.0000

Properties
As for the space-group type: No. 123. The calculation puts the uncorrected formation energy at -1.85 eV per formula unit.

---

Entry 10:
Entry from Alexandria: an optimized crystal structure of Zr2CrAg (PBE).

a = 9.8628 Å, b = 9.8628 Å, c = 9.8628 Å
α = 18.03°, β = 18.03°, γ = 18.03°
Fractional coordinates of all 4 atoms:
1 Ag 0.4951 0.4951 0.4951
2 Cr 0.7509 0.7509 0.7509
3 Zr 0.0067 0.0067 0.0067
4 Zr 0.2473 0.2473 0.2473

Properties
As for the space-group type: No. 160. The value obtained for the energy of formation is 338 meV/atom. For the relative energy among the computed polymorphs, the calculation gives 0.308 eV/atom.

---

Entry 11:
Entry from Alexandria: an optimized crystal structure of La4TePI2 (PBE).

a = 4.3891 Å, b = 7.8799 Å, c = 8.0842 Å
α = 107.98°, β = 90.00°, γ = 90.00°
Fractional coordinates of all 8 atoms:
1 La 0.5000 0.2719 0.2133
2 La 0.5000 0.7281 0.7867
3 La 0.0000 0.2931 0.7988
4 La 0.0000 0.7069 0.2012
5 Te 0.0000 0.0000 0.0000
6 P 0.5000 0.5000 0.0000
7 I 0.5000 0.0000 0.5000
8 I 0.0000 0.5000 0.5000

Properties
As for the space-group type: No. 10. The calculation puts the uncorrected formation energy at -10.98 eV per formula unit.

---

Entry 12:
Entry from Alexandria: an optimized crystal structure of SrHoAl2Ga2 (PBE).

a = 4.4166 Å, b = 4.4166 Å, c = 8.3627 Å
α = 90.00°, β = 90.00°, γ = 120.00°
Fractional coordinates of all 6 atoms:
1 Sr 0.0000 0.0000 0.0000
2 Ho 0.0000 0.0000 0.5000
3 Al 0.6667 0.3333 0.7192
4 Al 0.3333 0.6667 0.2808
5 Ga 0.6667 0.3333 0.2847
6 Ga 0.3333 0.6667 0.7153

Properties
As for the space-group type: No. 164. The value obtained for the energy of formation is -457 meV/atom.